No. 1
16
Lattice="8.679 0.000 0.000 0.000 5.465 0.000 0.000 0.000 4.588" Properties=species:S:1:pos:R:3 comment="Fe3MoRh4 | Alexandria via LeMat-Bulk | PBE | relaxed" magnetic_moment_mub_per_atom=1.0212 final_energy_ev_per_atom=-8.27 pbc="T T T"
Fe 0.000 0.000 0.000
Fe 2.170 0.000 1.582
Fe 2.170 2.733 1.624
Fe 4.340 0.000 0.000
Fe 6.509 0.000 3.006
Fe 6.509 2.733 2.963
Mo 0.000 2.733 0.000
Mo 4.340 2.733 0.000
Rh 0.000 1.357 2.294
Rh 0.000 4.108 2.294
Rh 2.170 1.336 3.935
Rh 2.170 4.129 3.935
Rh 4.340 1.357 2.294
Rh 4.340 4.108 2.294
Rh 6.509 1.336 0.653
Rh 6.509 4.129 0.653



No. 2
4
Lattice="0.000 3.081 3.081 3.081 0.000 3.081 3.081 3.081 0.000" Properties=species:S:1:pos:R:3 comment="FeMo2Rh | Alexandria via LeMat-Bulk | PBE | relaxed" magnetic_moment_mub_per_atom=0.7632 polymorph_energy_ev_per_fu=0.594 final_energy_ev_per_atom=-9.22 pbc="T T T"
Fe 0.000 0.000 0.000
Mo 3.081 3.081 3.081
Mo 4.621 4.621 4.621
Rh 1.540 1.540 1.540



No. 3
4
Lattice="-1.878 1.878 3.748 1.878 -1.878 3.748 1.878 1.878 -3.748" Properties=species:S:1:pos:R:3 comment="Fe2MoRh | Alexandria via LeMat-Bulk | PBE | relaxed" magnetic_moment_mub_per_atom=0.8541 final_energy_ev_per_atom=-8.74 pbc="T T T"
Fe 1.878 0.000 1.874
Fe 0.000 1.878 1.874
Mo 0.000 0.000 0.000
Rh 0.000 0.000 3.748



No. 4
4
Lattice="2.717 0.000 0.000 0.000 3.803 0.000 -0.017 0.000 5.451" Properties=species:S:1:pos:R:3 comment="FeMo2Rh | Alexandria via LeMat-Bulk | PBE | relaxed" magnetic_moment_mub_per_atom=0.1653 polymorph_energy_ev_per_fu=0.018 final_energy_ev_per_atom=-9.36 pbc="T T T"
Fe 0.000 0.000 0.000
Mo 1.350 1.901 1.290
Mo 1.350 1.901 4.161
Rh -0.008 0.000 2.726